1.
Compound: MgTc2Br
Source: Alexandria
Functional: PBE-GGA
Structure: optimized geometry

## Properties
Space group   Fm-3m (225)
Volume   15.74 Å³/atom
N(E_F)   1.196 states/eV/atom
Uncorrected formation energy   0.99 eV per atom

Structure (POSCAR):
```
MgTc2Br
1.0
0.000 3.157 3.157
3.157 0.000 3.157
3.157 3.157 0.000
Mg Tc Br
1 2 1
Direct
0.000 0.000 0.000 Mg
0.250 0.250 0.250 Tc
0.750 0.750 0.750 Tc
0.500 0.500 0.500 Br
```


2.
Compound: MgTc2Br
Source: Alexandria
Functional: PBE-GGA
Structure: optimized geometry

## Properties
Space group   C2/m (12)
Volume   17.53 Å³/atom
N(E_F)   0.794 states/eV/atom
Uncorrected formation energy   0.61 eV per atom

Structure (POSCAR):
```
MgTc2Br
1.0
2.619 -5.219 0.000
2.619 5.219 0.000
-1.943 0.000 2.565
Mg Tc Br
1 2 1
Direct
0.000 0.000 0.000 Mg
0.000 0.500 0.500 Tc
0.500 0.000 0.500 Tc
0.500 0.500 0.000 Br
```


3.
Compound: MgTcBr2
Source: Alexandria
Functional: PBE-GGA
Structure: optimized geometry

## Properties
Space group   Fm-3m (225)
Volume   20.18 Å³/atom
N(E_F)   0.661 states/eV/atom
Uncorrected formation energy   0.36 eV per atom

Structure (POSCAR):
```
MgTcBr2
1.0
0.000 3.430 3.430
3.430 0.000 3.430
3.430 3.430 0.000
Mg Tc Br
1 1 2
Direct
0.000 0.000 0.000 Mg
0.500 0.500 0.500 Tc
0.250 0.250 0.250 Br
0.750 0.750 0.750 Br
```


4.
Compound: MgTcBr2
Source: Alexandria
Functional: PBE-GGA
Structure: optimized geometry

## Properties
Space group   Pmmm (47)
Volume   22.28 Å³/atom
N(E_F)   0.685 states/eV/atom
Uncorrected formation energy   0.30 eV per atom

Structure (POSCAR):
```
MgTcBr2
1.0
3.323 0.000 0.000
0.000 4.395 0.000
0.000 0.000 6.102
Mg Tc Br
1 1 2
Direct
0.000 0.000 0.000 Mg
0.500 0.000 0.500 Tc
0.000 0.500 0.500 Br
0.500 0.500 0.000 Br
```